(1)
Density functional theory data (PBE) for a geometry-optimized MgTcAg2 structure.

```
MgTcAg2
1.0
-1.9492 1.9492 9.8655
1.9492 -1.9492 9.8655
1.9492 1.9492 -9.8655
Mg Tc Ag
2 2 4
direct
0.0000 0.0000 0.0000 Mg
0.7500 0.2500 0.5000 Mg
0.2500 0.7500 0.5000 Tc
0.5000 0.5000 0.0000 Tc
0.1243 0.6250 0.9993 Ag
0.3750 0.3743 0.4993 Ag
0.6257 0.1250 0.0007 Ag
0.8750 0.8757 0.5007 Ag
```

Output
magnetic moment	1.58	μB/f.u.
total energy	-3.7057	eV/atom


(2)
Density functional theory data (PBE) for a geometry-optimized MgTcAg2 structure.

```
MgTcAg2
1.0
2.7562 0.0000 0.0000
0.0000 4.2976 0.0000
-0.0692 0.0000 5.6991
Mg Tc Ag
1 1 2
direct
0.0000 0.0000 0.0000 Mg
0.0000 0.0000 0.5000 Tc
0.4957 0.5000 0.2556 Ag
0.5043 0.5000 0.7444 Ag
```

Output
magnetic moment	0.00	μB/f.u.
total energy	-4.1005	eV/atom


(3)
Density functional theory data (PBE) for a geometry-optimized MgTcAg2 structure.

```
MgTcAg2
1.0
4.7929 -1.3667 0.0000
4.7929 1.3667 0.0000
-0.7245 0.0000 5.1469
Mg Tc Ag
1 1 2
direct
0.0000 0.0000 0.0000 Mg
0.2519 0.2519 0.7617 Tc
0.5028 0.5028 0.5155 Ag
0.7500 0.7500 0.2582 Ag
```

Output
magnetic moment	0.00	μB/f.u.
total energy	-4.1251	eV/atom


(4)
Density functional theory data (PBE) for a geometry-optimized MgTcAg2 structure.

```
MgTcAg2
1.0
4.8790 -1.3714 0.0000
4.8790 1.3714 0.0000
-0.7485 0.0000 5.0739
Mg Tc Ag
1 1 2
direct
0.0000 0.0000 0.0000 Mg
0.5000 0.5000 0.5000 Tc
0.2475 0.2475 0.7451 Ag
0.7525 0.7525 0.2549 Ag
```

Output
magnetic moment	0.30	μB/f.u.
total energy	-4.1061	eV/atom


(5)
Density functional theory data (PBE) for a geometry-optimized MgTcAg2 structure.

```
MgTcAg2
1.0
-1.3978 2.4645 4.9963
1.3978 -2.4645 4.9963
1.3978 2.4645 -4.9963
Mg Tc Ag
1 1 2
direct
0.0000 0.0000 0.0000 Mg
0.5000 0.5000 0.0000 Tc
0.2505 0.7505 0.5000 Ag
0.7495 0.2495 0.5000 Ag
```

Output
magnetic moment	0.44	μB/f.u.
total energy	-4.0466	eV/atom


(6)
Density functional theory data (PBE) for a geometry-optimized MgTcAg2 structure.

```
MgTcAg2
1.0
1.4326 0.8271 9.5396
-1.4326 0.8271 9.5396
0.0000 -1.6542 9.5396
Mg Tc Ag
1 1 2
direct
0.0000 0.0000 0.0000 Mg
0.5000 0.5000 0.5000 Tc
0.2499 0.2499 0.2499 Ag
0.7501 0.7501 0.7501 Ag
```

Output
magnetic moment	0.75	μB/f.u.
total energy	-4.1132	eV/atom


(7)
Density functional theory data (PBE) for a geometry-optimized MgTcAg2 structure.

```
MgTcAg2
1.0
-2.1499 2.1499 3.7558
2.1499 -2.1499 3.7558
2.1499 2.1499 -3.7558
Mg Tc Ag
1 1 2
direct
0.0000 0.0000 0.0000 Mg
0.2500 0.7500 0.5000 Tc
0.5000 0.5000 0.0000 Ag
0.7500 0.2500 0.5000 Ag
```

Output
magnetic moment	2.38	μB/f.u.
total energy	-4.0143	eV/atom


(8)
Density functional theory data (PBE) for a geometry-optimized MgTc3Ag structure.

```
MgTc3Ag
1.0
4.5028 0.0000 0.0000
0.0000 4.5028 0.0000
0.0000 0.0000 4.5028
Mg Tc Ag
1 3 1
direct
0.0000 0.0000 0.0000 Mg
0.0000 0.0000 0.5000 Tc
0.0000 0.5000 0.0000 Tc
0.5000 0.0000 0.0000 Tc
0.5000 0.5000 0.5000 Ag
```

Output
magnetic moment	1.53	μB/f.u.
E above lowest polymorph	0	meV per atom


(9)
Density functional theory data (PBE) for a geometry-optimized MgTcAg2 structure.

```
MgTcAg2
1.0
1.9345 -1.9736 0.0000
1.9345 1.9736 0.0000
0.0000 0.0000 8.8303
Mg Tc Ag
1 1 2
direct
0.0000 0.0000 0.0000 Mg
0.5000 0.5000 0.7612 Tc
0.0000 0.0000 0.5137 Ag
0.5000 0.5000 0.2537 Ag
```

Output
magnetic moment	0.00	μB/f.u.
total energy	-4.1976	eV/atom


(10)
Density functional theory data (PBE) for a geometry-optimized MgTcAg2 structure.

```
MgTcAg2
1.0
2.8339 -4.3385 0.0000
2.8339 4.3385 0.0000
0.0000 0.0000 2.7210
Mg Tc Ag
1 1 2
direct
0.0000 0.0000 0.0000 Mg
0.5000 0.5000 0.0000 Tc
0.0000 0.5000 0.5000 Ag
0.5000 0.0000 0.5000 Ag
```

Output
magnetic moment	0.00	μB/f.u.
total energy	-4.1522	eV/atom


(11)
Density functional theory data (PBE) for a geometry-optimized Mg2AgTe structure.

```
Mg2AgTe
1.0
-2.0575 2.0575 5.4119
2.0575 -2.0575 5.4119
2.0575 2.0575 -5.4119
Mg Ag Te
2 1 1
direct
0.0000 0.0000 0.0000 Mg
0.7500 0.2500 0.5000 Mg
0.5000 0.5000 0.0000 Ag
0.2500 0.7500 0.5000 Te
```

Output
magnetic moment	0.00	μB/f.u.
formation energy from raw total energies	-181	meV/atom


(12)
Density functional theory data (PBE) for a geometry-optimized Mg3AgTe structure.

```
Mg3AgTe
1.0
5.1416 0.0000 0.0000
0.0000 5.1416 0.0000
0.0000 0.0000 5.1416
Mg Ag Te
3 1 1
direct
0.0000 0.0000 0.5000 Mg
0.0000 0.5000 0.0000 Mg
0.5000 0.0000 0.0000 Mg
0.0000 0.0000 0.0000 Ag
0.5000 0.5000 0.5000 Te
```

Output
magnetic moment	0.00	μB/f.u.
formation energy from raw total energies	1	meV/atom
E above lowest polymorph	0	meV per atom


(13)
Density functional theory data (PBE) for a geometry-optimized Mg2AgTe structure.

```
Mg2AgTe
1.0
2.1930 -2.4156 0.0000
2.1930 2.4156 0.0000
0.0000 0.0000 8.9125
Mg Ag Te
2 1 1
direct
0.0000 0.0000 0.0000 Mg
0.5000 0.5000 0.2624 Mg
0.0000 0.0000 0.4615 Ag
0.5000 0.5000 0.7523 Te
```

Output
magnetic moment	0.00	μB/f.u.
formation energy from raw total energies	-14	meV/atom


(14)
Density functional theory data (PBE) for a geometry-optimized Mg2AgTe structure.

```
Mg2AgTe
1.0
4.7958 0.0000 0.0000
0.0000 4.7958 0.0000
0.0000 0.0000 3.9040
Mg Ag Te
2 1 1
direct
0.0000 0.5000 0.0000 Mg
0.5000 0.0000 0.0000 Mg
0.0000 0.0000 0.5000 Ag
0.5000 0.5000 0.5000 Te
```

Output
magnetic moment	0.00	μB/f.u.
formation energy from raw total energies	-207	meV/atom


(15)
Density functional theory data (PBE) for a geometry-optimized Mg2AgTe structure.

```
Mg2AgTe
1.0
3.7633 -2.0470 0.0000
3.7633 2.0470 0.0000
-2.1669 0.0000 6.3714
Mg Ag Te
2 1 1
direct
0.2469 0.2469 0.2289 Mg
0.7531 0.7531 0.7711 Mg
0.5000 0.5000 0.0000 Ag
0.0000 0.0000 0.5000 Te
```

Output
magnetic moment	0.00	μB/f.u.
formation energy from raw total energies	-296	meV/atom


(16)
Density functional theory data (PBE) for a geometry-optimized MgAg2Te2 structure.

```
MgAg2Te2
1.0
7.8842 0.0000 0.0000
0.0000 7.8842 0.0000
0.0000 0.0000 4.1381
Mg Ag Te
2 4 4
direct
0.0000 0.0000 0.0000 Mg
0.5000 0.5000 0.0000 Mg
0.1268 0.3732 0.5000 Ag
0.3732 0.8732 0.5000 Ag
0.6268 0.1268 0.5000 Ag
0.8732 0.6268 0.5000 Ag
0.1843 0.6843 0.0000 Te
0.3157 0.1843 0.0000 Te
0.6843 0.8157 0.0000 Te
0.8157 0.3157 0.0000 Te
```

Output
magnetic moment	0.00	μB/f.u.
formation energy from raw total energies	-111	meV/atom
E above lowest polymorph	12	meV per atom


(17)
Density functional theory data (PBE) for a geometry-optimized Mg2AgTe structure.

```
Mg2AgTe
1.0
-2.6943 2.6943 8.1093
2.6943 -2.6943 8.1093
2.6943 2.6943 -8.1093
Mg Ag Te
4 2 2
direct
0.0903 0.6250 0.9653 Mg
0.3750 0.3403 0.4653 Mg
0.6597 0.1250 0.0347 Mg
0.8750 0.9097 0.5347 Mg
0.0000 0.0000 0.0000 Ag
0.7500 0.2500 0.5000 Ag
0.2500 0.7500 0.5000 Te
0.5000 0.5000 0.0000 Te
```

Output
magnetic moment	0.00	μB/f.u.
formation energy from raw total energies	-137	meV/atom


(18)
Density functional theory data (PBE) for a geometry-optimized Mg2AgTe structure.

```
Mg2AgTe
1.0
-2.2441 2.2441 4.4232
2.2441 -2.2441 4.4232
2.2441 2.2441 -4.4232
Mg Ag Te
2 1 1
direct
0.2500 0.7500 0.5000 Mg
0.7500 0.2500 0.5000 Mg
0.0000 0.0000 0.0000 Ag
0.5000 0.5000 0.0000 Te
```

Output
magnetic moment	0.00	μB/f.u.
formation energy from raw total energies	-135	meV/atom


(19)
Density functional theory data (PBE) for a geometry-optimized Mg2AgTe structure.

```
Mg2AgTe
1.0
0.0000 3.6187 3.6187
3.6187 0.0000 3.6187
3.6187 3.6187 0.0000
Mg Ag Te
2 1 1
direct
0.0000 0.0000 0.0000 Mg
0.2500 0.2500 0.2500 Mg
0.7500 0.7500 0.7500 Ag
0.5000 0.5000 0.5000 Te
```

Output
magnetic moment	0.00	μB/f.u.
formation energy from raw total energies	35	meV/atom


(20)
Density functional theory data (PBE) for a geometry-optimized MgAg3Te structure.

```
MgAg3Te
1.0
5.3920 0.0000 0.0000
0.0000 5.3920 0.0000
0.0000 0.0000 5.3920
Mg Ag Te
1 3 1
direct
0.0000 0.0000 0.0000 Mg
0.0000 0.5000 0.5000 Ag
0.5000 0.0000 0.5000 Ag
0.5000 0.5000 0.0000 Ag
0.5000 0.5000 0.5000 Te
```

Output
magnetic moment	0.00	μB/f.u.
formation energy from raw total energies	468	meV/atom
E above lowest polymorph	0	meV per atom


(21)
Density functional theory data (PBE) for a geometry-optimized Mg2AgTe structure.

```
Mg2AgTe
1.0
3.9749 0.0000 0.0000
0.0000 3.9589 0.0000
-1.9742 0.0000 6.0351
Mg Ag Te
2 1 1
direct
0.0000 0.0000 0.0000 Mg
0.3292 0.5000 0.6562 Mg
0.5550 0.5000 0.1089 Ag
0.7488 0.0000 0.4942 Te
```

Output
magnetic moment	0.00	μB/f.u.
formation energy from raw total energies	-309	meV/atom


(22)
Density functional theory data (PBE) for a geometry-optimized MgAg2Te2 structure.

```
MgAg2Te2
1.0
-2.0171 2.0171 7.7281
2.0171 -2.0171 7.7281
2.0171 2.0171 -7.7281
Mg Ag Te
1 2 2
direct
0.0000 0.0000 0.0000 Mg
0.2500 0.7500 0.5000 Ag
0.7500 0.2500 0.5000 Ag
0.3898 0.3898 0.0000 Te
0.6102 0.6102 0.0000 Te
```

Output
magnetic moment	0.00	μB/f.u.
formation energy from raw total energies	-123	meV/atom
E above lowest polymorph	0	meV per atom


(23)
Density functional theory data (PBE) for a geometry-optimized Mg2AgTe structure.

```
Mg2AgTe
1.0
3.2581 0.0000 0.0000
0.0000 3.2581 0.0000
0.0000 0.0000 8.8969
Mg Ag Te
2 1 1
direct
0.0000 0.0000 0.0000 Mg
0.5000 0.5000 0.2634 Mg
0.5000 0.5000 0.8036 Ag
0.0000 0.0000 0.5120 Te
```

Output
magnetic moment	0.00	μB/f.u.
formation energy from raw total energies	-14	meV/atom


(24)
Density functional theory data (PBE) for a geometry-optimized Mg2AgTe structure.

```
Mg2AgTe
1.0
3.9732 0.0000 0.0000
0.0000 3.9732 0.0000
0.0000 0.0000 6.0643
Mg Ag Te
2 1 1
direct
0.0000 0.0000 0.0000 Mg
0.5000 0.5000 0.3413 Mg
0.5000 0.5000 0.8929 Ag
0.0000 0.0000 0.4981 Te
```

Output
magnetic moment	0.00	μB/f.u.
formation energy from raw total energies	-263	meV/atom


(25)
Density functional theory data (PBE) for a geometry-optimized Mg2AgTe structure.

```
Mg2AgTe
1.0
3.7760 0.0000 0.0000
0.0000 3.7383 0.0000
-0.0866 0.0000 6.2686
Mg Ag Te
2 1 1
direct
0.0008 0.0000 0.2615 Mg
0.9992 0.0000 0.7385 Mg
0.5000 0.5000 0.5000 Ag
0.5000 0.5000 0.0000 Te
```

Output
magnetic moment	0.00	μB/f.u.
formation energy from raw total energies	-266	meV/atom


(26)
Density functional theory data (PBE) for a geometry-optimized Mg2AgTe structure.

```
Mg2AgTe
1.0
1.7520 1.0115 9.0906
-1.7520 1.0115 9.0906
0.0000 -2.0230 9.0906
Mg Ag Te
2 1 1
direct
0.0000 0.0000 0.0000 Mg
0.2408 0.2408 0.2408 Mg
0.5012 0.5012 0.5012 Ag
0.7474 0.7474 0.7474 Te
```

Output
magnetic moment	0.00	μB/f.u.
formation energy from raw total energies	8	meV/atom


(27)
Density functional theory data (PBE) for a geometry-optimized Mg4AgTe structure.

```
Mg4AgTe
1.0
0.0000 4.1272 4.1272
4.1272 0.0000 4.1272
4.1272 4.1272 0.0000
Mg Ag Te
4 1 1
direct
0.1249 0.1249 0.1249 Mg
0.1249 0.1249 0.6254 Mg
0.1249 0.6254 0.1249 Mg
0.6254 0.1249 0.1249 Mg
0.5000 0.5000 0.5000 Ag
0.7500 0.7500 0.7500 Te
```

Output
magnetic moment	0.00	μB/f.u.
formation energy from raw total energies	77	meV/atom


(28)
Density functional theory data (PBE) for a geometry-optimized Tm2MgAg3Te6 structure.

```
Tm2MgAg3Te6
1.0
10.2720 -2.1119 0.0000
10.2720 2.1119 0.0000
-1.6758 0.0000 7.9632
Tm Mg Ag Te
2 1 3 6
direct
0.1751 0.1751 0.3301 Tm
0.8249 0.8249 0.6699 Tm
0.5000 0.5000 0.0000 Mg
0.2103 0.2103 0.8697 Ag
0.5000 0.5000 0.5000 Ag
0.7897 0.7897 0.1303 Ag
0.0202 0.0202 0.2717 Te
0.3270 0.3270 0.4009 Te
0.3529 0.3529 0.9451 Te
0.6471 0.6471 0.0549 Te
0.6730 0.6730 0.5991 Te
0.9798 0.9798 0.7283 Te
```

Output
magnetic moment	0.00	μB/f.u.
formation energy from raw total energies	-656	meV/atom


(29)
Density functional theory data (PBE) for a geometry-optimized YMgAgTe3 structure.

```
YMgAgTe3
1.0
8.4694 0.0000 0.0000
0.0000 4.2124 0.0000
-2.1696 0.0000 9.3449
Y Mg Ag Te
2 2 2 6
direct
0.1894 0.2500 0.2459 Y
0.8106 0.7500 0.7541 Y
0.3337 0.7500 0.8314 Mg
0.6663 0.2500 0.1686 Mg
0.0870 0.2500 0.5823 Ag
0.9130 0.7500 0.4177 Ag
0.0854 0.2500 0.8739 Te
0.2799 0.7500 0.5049 Te
0.4141 0.7500 0.1437 Te
0.5859 0.2500 0.8563 Te
0.7201 0.2500 0.4951 Te
0.9146 0.7500 0.1261 Te
```

Output
magnetic moment	0.00	μB/f.u.
formation energy from raw total energies	-855	meV/atom


Number 1: V 149.9 Å³/cell. Number 2: V 67.5 Å³/cell. Number 3: V 67.4 Å³/cell. Number 4: V 67.9 Å³/cell. Number 5: V 68.8 Å³/cell. Number 6: V 67.8 Å³/cell. Number 7: V 69.4 Å³/cell. Number 8: V 91.3 Å³/cell. Number 9: V 67.4 Å³/cell. Number 10: V 66.9 Å³/cell. Number 11: V 91.6 Å³/cell. Number 12: V 135.9 Å³/cell. Number 13: V 94.4 Å³/cell. Number 14: V 89.8 Å³/cell. Number 15: V 98.2 Å³/cell. Number 16: V 257.2 Å³/cell. Number 17: V 235.5 Å³/cell. Number 18: V 89.1 Å³/cell. Number 19: V 94.8 Å³/cell. Number 20: V 156.8 Å³/cell. Number 21: V 95.0 Å³/cell. Number 22: V 125.8 Å³/cell. Number 23: V 94.4 Å³/cell. Number 24: V 95.7 Å³/cell. Number 25: V 88.5 Å³/cell. Number 26: V 96.7 Å³/cell. Number 27: V 140.6 Å³/cell. Number 28: V 345.5 Å³/cell. Number 29: V 333.4 Å³/cell.